# 1
This record from OQMD describes crystalline BaCuNiBi at its relaxed geometry. The functional is PBE.

Calculated values
excess energy over the best structure of this formula in the dataset: 115 kJ/mol of formula units
total magnetic moment: 1.75 μB/cell

a = 7.3606 Å, b = 7.3606 Å, c = 7.3606 Å
α = 90.00°, β = 90.00°, γ = 90.00°
Space group F-43m (No. 216)
One atom of each set of equivalent atoms:
Ba1 0.0000 0.0000 0.0000 [4 per cell]
Cu1 0.0000 0.0000 0.5000 [4 per cell]
Ni1 0.2500 0.2500 0.7500 [4 per cell]
Bi1 0.2500 0.2500 0.2500 [4 per cell]

***

# 2
This record from OQMD describes crystalline Bi2PdAu2 at its relaxed geometry. The functional is PBE.

Calculated values
uncorrected energy: -3.58 eV/atom

a = 4.6993 Å, b = 4.6993 Å, c = 11.8918 Å
α = 90.00°, β = 90.00°, γ = 90.00°
Space group I4/mmm (No. 139)
One atom of each set of equivalent atoms:
Bi1 0.0000 0.5000 0.2500 [4 per cell]
Pd1 0.0000 0.0000 0.0000 [2 per cell]
Au1 0.0000 0.0000 0.3917 [4 per cell]

***

# 3
This record from OQMD describes crystalline ScMo2Pd at its relaxed geometry. The functional is PBE.

Calculated values
ΔH_f (0 K): -0.080 eV per atom
total magnetic moment: 0.07 μB/cell

a = 6.4173 Å, b = 6.4173 Å, c = 6.4173 Å
α = 90.00°, β = 90.00°, γ = 90.00°
Space group F-43m (No. 216)
One atom of each set of equivalent atoms:
Sc1 0.0000 0.0000 0.0000 [4 per cell]
Mo1 0.0000 0.0000 0.5000 [4 per cell]
Mo2 0.2500 0.2500 0.2500 [4 per cell]
Pd1 0.2500 0.2500 0.7500 [4 per cell]

***

# 4
This record from OQMD describes crystalline Li3Cd2In at its relaxed geometry. The functional is PBE.

Calculated values
uncorrected energy: -1.98 eV/atom

a = 3.2402 Å, b = 3.2402 Å, c = 10.2965 Å
α = 90.00°, β = 90.00°, γ = 90.00°
Space group P4/mmm (No. 123)
One atom of each set of equivalent atoms:
Li1 0.0000 0.0000 0.0000 [1 per cell]
Li2 0.0000 0.0000 0.3286 [2 per cell]
Cd1 0.5000 0.5000 0.1640 [2 per cell]
In1 0.5000 0.5000 0.5000 [1 per cell]

***

# 5
This record from OQMD describes crystalline LiTcAuSe3 at its relaxed geometry. The functional is PBE.

Calculated values
uncorrected energy: -4.61 eV/atom
total magnetic moment: 2.71 μB/cell

a = 3.1753 Å, b = 14.8071 Å, c = 10.1193 Å
α = 90.00°, β = 90.00°, γ = 90.00°
Space group Cmcm (No. 63)
One atom of each set of equivalent atoms:
Li1 0.0000 0.1890 0.2500 [4 per cell]
Tc1 0.0000 0.5000 0.0000 [4 per cell]
Au1 0.0000 0.1610 0.7500 [4 per cell]
Se1 0.0000 0.1342 0.5111 [8 per cell]
Se2 0.0000 0.4577 0.7500 [4 per cell]

***

# 6
This record from OQMD describes crystalline ZnSnP14 at its relaxed geometry. The functional is PBE.

Calculated values
uncorrected energy: -5.11 eV/atom

a = 12.8100 Å, b = 9.8347 Å, c = 10.6092 Å
α = 90.00°, β = 90.00°, γ = 90.00°
Space group Pnma (No. 62)
One atom of each set of equivalent atoms:
Zn1 0.1752 0.2500 0.9996 [4 per cell]
Sn1 0.1749 0.7500 0.0948 [4 per cell]
P1 0.0288 0.5773 0.8522 [8 per cell]
P2 0.0300 0.2500 0.8445 [4 per cell]
P3 0.0555 0.7500 0.7213 [4 per cell]
P4 0.0649 0.0827 0.7114 [8 per cell]
P5 0.0796 0.5784 0.4164 [8 per cell]
P6 0.0878 0.2500 0.4007 [4 per cell]
P7 0.1412 0.0505 0.1287 [8 per cell]
P8 0.1781 0.7500 0.3522 [4 per cell]
P9 0.1824 0.0780 0.3283 [8 per cell]

***

# 7
This record from OQMD describes crystalline KBeMoIr at its relaxed geometry. The functional is PBE.

Calculated values
excess energy over the best structure of this formula in the dataset: 225 kJ/mol of formula units
total magnetic moment: 12.04 μB/cell

a = 6.4245 Å, b = 6.4245 Å, c = 6.4245 Å
α = 90.00°, β = 90.00°, γ = 90.00°
Space group F-43m (No. 216)
One atom of each set of equivalent atoms:
K1 0.0000 0.0000 0.0000 [4 per cell]
Be1 0.0000 0.0000 0.5000 [4 per cell]
Mo1 0.2500 0.2500 0.2500 [4 per cell]
Ir1 0.2500 0.2500 0.7500 [4 per cell]